A:
DFT (PBE-GGA) results for a relaxed structure of GeMo2I.

Cell and atoms, written as POSCAR:
```
GeMo2I
1.0
4.487 0.000 0.000
0.000 4.487 0.000
2.244 2.244 8.525
I Mo Ge
2 4 2
Cartesian
0.000 0.000 0.000 I
4.487 2.244 4.263 I
3.004 1.122 2.131 Mo
1.483 3.366 2.131 Mo
3.366 3.727 6.394 Mo
5.609 5.248 6.394 Mo
2.244 2.244 0.000 Ge
2.244 4.487 4.263 Ge
```

Values from the calculation:
**Calculated density**: 7.6 g cm⁻³



B:
DFT (PBE-GGA) results for a relaxed structure of GeMo2I.

Cell and atoms, written as POSCAR:
```
GeMo2I
1.0
0.000 3.244 3.244
3.244 0.000 3.244
3.244 3.244 0.000
I Mo Ge
1 2 1
Cartesian
3.244 3.244 3.244 I
1.622 1.622 1.622 Mo
4.866 4.866 4.866 Mo
0.000 0.000 0.000 Ge
```

Values from the calculation:
**Calculated density**: 9.5 g cm⁻³



What are the relative energies? In eV/atom: A 0.288; B 0.000.